Record 1
First-principles (GGA-PBEsol) data for TiTeRhI2 after structural relaxation, as listed in Alexandria.

Calculated values
Symmetry   P4/mmm, No. 123

```
data_TiTeRhI2
_cell_length_a 5.2147
_cell_length_b 5.2147
_cell_length_c 5.1961
_cell_angle_alpha 90.00
_cell_angle_beta 90.00
_cell_angle_gamma 90.00
_space_group_name_H-M_alt 'P 1'
_space_group_IT_number 1
_space_group_name_Hall 'P 1'
loop_
_atom_site_label
_atom_site_fract_x
_atom_site_fract_y
_atom_site_fract_z
I1 0.5000 0.0000 0.0000
I2 0.0000 0.5000 0.0000
Ti1 0.5000 0.5000 0.5000
Te1 0.0000 0.0000 0.5000
Rh1 0.0000 0.0000 0.0000
```


Record 2
First-principles (GGA-PBEsol) data for Zn2TcMo after structural relaxation, as listed in Alexandria.

Calculated values
Energy relative to the elements   38.6 meV per atom
Symmetry   P4mm, No. 99
ΔE to the lowest computed polymorph   0.000 eV/atom

```
data_Zn2TcMo
_cell_length_a 3.1240
_cell_length_b 3.1240
_cell_length_c 5.8573
_cell_angle_alpha 90.00
_cell_angle_beta 90.00
_cell_angle_gamma 90.00
_space_group_name_H-M_alt 'P 1'
_space_group_IT_number 1
_space_group_name_Hall 'P 1'
loop_
_atom_site_label
_atom_site_fract_x
_atom_site_fract_y
_atom_site_fract_z
Zn1 0.5000 0.5000 0.2355
Zn2 0.0000 0.0000 0.0105
Tc1 0.5000 0.5000 0.7332
Mo1 0.0000 0.0000 0.5208
```


Summary of electronic total energy in eV/atom
-4.2377, -6.5109
(order as listed above)